No. 1
DFT (PBE) results for a relaxed structure of CaGa6Cl12.

Properties
As for the formation energy without anion corrections: -1.03 eV per atom. The symmetry is R-3 (148).

a = 10.387 Å, b = 10.387 Å, c = 10.387 Å
α = 112.76°, β = 112.76°, γ = 112.76°
Sites, in units of the cell vectors:
Ca (0.000, 0.000, 0.000)
Ga (0.322, 0.593, 0.406)
Ga (0.406, 0.322, 0.593)
Ga (0.407, 0.594, 0.678)
Ga (0.593, 0.406, 0.322)
Ga (0.594, 0.678, 0.407)
Ga (0.678, 0.407, 0.594)
Cl (0.064, 0.325, 0.139)
Cl (0.139, 0.064, 0.325)
Cl (0.208, 0.555, 0.716)
Cl (0.284, 0.792, 0.445)
Cl (0.325, 0.139, 0.064)
Cl (0.445, 0.284, 0.792)
Cl (0.555, 0.716, 0.208)
Cl (0.675, 0.861, 0.936)
Cl (0.716, 0.208, 0.555)
Cl (0.792, 0.445, 0.284)
Cl (0.861, 0.936, 0.675)
Cl (0.936, 0.675, 0.861)

---

No. 2
DFT (PBE) results for a relaxed structure of Mg5Sn2Pd4.

Properties
The symmetry is C2/m (12). Its energy relative to the elements is -0.34 eV per atom.

a = 10.834 Å, b = 10.834 Å, c = 6.972 Å
α = 93.00°, β = 93.00°, γ = 16.10°
Sites, in units of the cell vectors:
Mg (0.000, 0.000, 0.000)
Mg (0.355, 0.355, 0.180)
Mg (0.409, 0.409, 0.620)
Mg (0.591, 0.591, 0.380)
Mg (0.645, 0.645, 0.820)
Sn (0.284, 0.284, 0.805)
Sn (0.716, 0.716, 0.195)
Pd (0.189, 0.189, 0.524)
Pd (0.473, 0.473, 0.302)
Pd (0.527, 0.527, 0.698)
Pd (0.811, 0.811, 0.476)